[1]
{
  "formula": "CuBi2Te2",
  "functional": "PBE",
  "state": "relaxed",
  "raw_formation_energy_kcal_per_mol_atoms": 2.237,
  "sg": "No. 127",
  "polymorph_energy_mev_per_atom": 0.0,
  "total_magnetization_mub_per_fu": 0.0,
  "dft_energy_ev_per_atom": -3.53,
  "cell": [[6.885, 0.000, 0.000], [0.000, 6.885, 0.000], [0.000, 0.000, 6.412]],
  "species": ["Te", "Te", "Te", "Te", "Bi", "Bi", "Bi", "Bi", "Cu", "Cu"],
  "fractional_positions": [[0.341, 0.841, 0.000], [0.841, 0.659, 0.000], [0.659, 0.159, 0.000], [0.159, 0.341, 0.000], [0.307, 0.807, 0.500], [0.807, 0.693, 0.500], [0.693, 0.193, 0.500], [0.193, 0.307, 0.500], [0.000, 0.000, 0.000], [0.500, 0.500, 0.000]]
}

[2]
{
  "formula": "CuBi2Te2",
  "functional": "PBE",
  "state": "relaxed",
  "raw_formation_energy_kcal_per_mol_atoms": 11.422,
  "sg": "No. 139",
  "polymorph_energy_mev_per_atom": 398.3,
  "total_magnetization_mub_per_fu": 0.0,
  "dft_energy_ev_per_atom": -3.13,
  "cell": [[4.404, 0.000, 0.000], [0.000, 4.404, 0.000], [2.202, 2.202, 8.237]],
  "species": ["Te", "Te", "Bi", "Bi", "Cu"],
  "fractional_positions": [[0.411, 0.411, 0.177], [0.589, 0.589, 0.823], [0.750, 0.250, 0.500], [0.250, 0.750, 0.500], [0.000, 0.000, 0.000]]
}

[3]
{
  "formula": "CuBi4Te7",
  "functional": "PBE",
  "state": "relaxed",
  "raw_formation_energy_kcal_per_mol_atoms": -3.460,
  "sg": "No. 164",
  "total_magnetization_mub_per_fu": 0.0,
  "dft_energy_ev_per_atom": -3.62,
  "cell": [[4.356, 0.000, 0.000], [-2.178, 3.772, 0.000], [0.000, 0.000, 24.295]],
  "species": ["Cu", "Bi", "Bi", "Bi", "Bi", "Te", "Te", "Te", "Te", "Te", "Te", "Te"],
  "fractional_positions": [[0.000, 0.000, 0.500], [0.667, 0.333, 0.086], [0.333, 0.667, 0.914], [0.667, 0.333, 0.357], [0.333, 0.667, 0.643], [0.000, 0.000, 0.000], [0.667, 0.333, 0.557], [0.333, 0.667, 0.443], [0.667, 0.333, 0.841], [0.333, 0.667, 0.159], [0.000, 0.000, 0.284], [0.000, 0.000, 0.716]]
}

[4]
{
  "formula": "CuBi2Te",
  "functional": "PBE",
  "state": "relaxed",
  "raw_formation_energy_kcal_per_mol_atoms": 5.675,
  "sg": "No. 122",
  "total_magnetization_mub_per_fu": 0.0,
  "dft_energy_ev_per_atom": -3.50,
  "cell": [[-3.247, 0.870, 5.577], [1.766, -5.955, 1.957], [4.741, 0.001, 6.561]],
  "species": ["Te", "Te", "Bi", "Bi", "Bi", "Bi", "Cu", "Cu"],
  "fractional_positions": [[0.000, 0.000, 0.000], [0.750, 0.250, 0.500], [0.558, 0.125, 0.250], [0.192, 0.625, 0.250], [0.375, 0.442, 0.750], [0.875, 0.808, 0.750], [0.500, 0.500, 0.000], [0.250, 0.750, 0.500]]
}

[5]
{
  "formula": "Cu2Bi2Te",
  "functional": "PBE",
  "state": "relaxed",
  "raw_formation_energy_kcal_per_mol_atoms": 8.277,
  "sg": "No. 139",
  "polymorph_energy_mev_per_atom": 149.4,
  "total_magnetization_mub_per_fu": 0.0,
  "dft_energy_ev_per_atom": -3.46,
  "cell": [[-1.861, 3.956, 1.498], [0.687, -1.332, 4.372], [4.612, 3.782, 2.871]],
  "species": ["Te", "Bi", "Bi", "Cu", "Cu"],
  "fractional_positions": [[0.000, 0.000, 0.000], [0.750, 0.250, 0.500], [0.250, 0.750, 0.500], [0.395, 0.395, 0.210], [0.605, 0.605, 0.790]]
}

[6]
{
  "formula": "Cu2BiTe3",
  "functional": "PBE",
  "state": "relaxed",
  "raw_formation_energy_kcal_per_mol_atoms": -1.346,
  "sg": "No. 9",
  "total_magnetization_mub_per_fu": 0.0,
  "dft_energy_ev_per_atom": -3.64,
  "cell": [[7.829, -0.175, -1.298], [-4.392, 6.483, -1.298], [-0.019, -0.034, 7.396]],
  "species": ["Cu", "Cu", "Cu", "Cu", "Bi", "Bi", "Te", "Te", "Te", "Te", "Te", "Te"],
  "fractional_positions": [[0.599, 0.440, 0.013], [0.748, 0.268, 0.514], [0.440, 0.599, 0.513], [0.268, 0.748, 0.014], [0.099, 0.920, 0.479], [0.920, 0.099, 0.979], [0.047, 0.277, 0.404], [0.277, 0.047, 0.904], [0.877, 0.432, 0.881], [0.432, 0.877, 0.381], [0.512, 0.675, 0.881], [0.675, 0.512, 0.381]]
}

[7]
{
  "formula": "Cu2Bi2Te",
  "functional": "PBE",
  "state": "relaxed",
  "raw_formation_energy_kcal_per_mol_atoms": 4.833,
  "sg": "No. 127",
  "polymorph_energy_mev_per_atom": 0.0,
  "total_magnetization_mub_per_fu": 0.0,
  "dft_energy_ev_per_atom": -3.61,
  "cell": [[7.444, 0.000, 0.000], [0.000, 7.444, 0.000], [0.000, 0.000, 4.178]],
  "species": ["Te", "Te", "Bi", "Bi", "Bi", "Bi", "Cu", "Cu", "Cu", "Cu"],
  "fractional_positions": [[0.000, 0.000, 0.000], [0.500, 0.500, 0.000], [0.157, 0.657, 0.500], [0.657, 0.843, 0.500], [0.843, 0.343, 0.500], [0.343, 0.157, 0.500], [0.379, 0.879, 0.000], [0.879, 0.621, 0.000], [0.621, 0.121, 0.000], [0.121, 0.379, 0.000]]
}

[8]
{
  "formula": "Cu2BiTe",
  "functional": "PBE",
  "state": "relaxed",
  "raw_formation_energy_kcal_per_mol_atoms": 8.921,
  "sg": "No. 225",
  "polymorph_energy_mev_per_atom": 182.6,
  "total_magnetization_mub_per_fu": 0.0,
  "dft_energy_ev_per_atom": -3.42,
  "cell": [[0.000, 3.466, 3.466], [3.466, 0.000, 3.466], [3.466, 3.466, 0.000]],
  "species": ["Te", "Bi", "Cu", "Cu"],
  "fractional_positions": [[0.000, 0.000, 0.000], [0.500, 0.500, 0.500], [0.250, 0.250, 0.250], [0.750, 0.750, 0.750]]
}